A relaxed Er4PtRh crystal. Source: Alexandria via LeMat-Bulk, functional PBE.

Polymorph energy (0 for the lowest one)   26.5 meV per atom
Fermi-level density of states   5.518 states/eV per cell
Energy   -36.24 eV/f.u.
Formation enthalpy at 0 K   -766 meV/atom

Geometry as POSCAR:
```
Er4PtRh
1.0
4.791 0.000 0.000
0.000 4.792 0.000
0.006 0.009 6.776
Pt Er Rh
1 4 1
direct
0.501 0.497 0.998
0.501 0.997 0.250
0.002 0.498 0.747
0.502 0.998 0.747
0.001 0.497 0.250
0.001 0.997 0.498
```